1.
Below is a geometry-optimized NaAcP structure, with properties calculated at the PBE level.

Cell: 4.213 4.213 7.950 Å, 105.37 105.37 90.00°
Element x y z (fractional)
P 0.781 0.781 0.563
Ac 0.249 0.249 0.498
Na 0.970 0.970 0.939

Symmetry = I4mm, No. 107
Energy of formation = -0.54 eV per atom
DFT total energy = -4.16 eV/atom
Density of states at the Fermi level = 0.99 states/eV/f.u.


2.
Below is a geometry-optimized NaAc2PaP4 structure, with properties calculated at the PBE level.

Cell: 4.323 7.368 7.276 Å, 109.29 90.00 90.00°
Element x y z (fractional)
Na 0.500 0.500 0.000
P 0.000 0.228 0.771
P 0.500 0.229 0.223
P 0.500 0.771 0.777
P 0.000 0.772 0.229
Ac 0.500 0.000 0.500
Ac 0.000 0.500 0.500
Pa 0.000 0.000 0.000

Symmetry = P2/m, No. 10
Energy of formation = -1.04 eV per atom
DFT total energy = -6.13 eV/atom
Density of states at the Fermi level = 2.19 states/eV/f.u.


3.
Below is a geometry-optimized NaAcP2Pd2 structure, with properties calculated at the PBE level.

Cell: 4.151 4.151 8.699 Å, 90.00 90.00 120.00°
Element x y z (fractional)
Na 0.000 0.000 0.500
Pd 0.667 0.333 0.266
Pd 0.333 0.667 0.734
P 0.333 0.667 0.242
P 0.667 0.333 0.758
Ac 0.000 0.000 0.000

Symmetry = P-3m1, No. 164
Energy of formation = -0.82 eV per atom
DFT total energy = -5.26 eV/atom
Density of states at the Fermi level = 2.34 states/eV/f.u.


4.
Below is a geometry-optimized NaAc2P3Pd4 structure, with properties calculated at the PBE level.

Cell: 4.321 4.321 10.565 Å, 90.00 90.00 90.00°
Element x y z (fractional)
Na 0.500 0.500 0.500
Pd 0.000 0.000 0.000
Pd 0.000 0.500 0.355
Pd 0.500 0.500 0.000
Pd 0.500 0.000 0.645
P 0.000 0.000 0.500
P 0.000 0.500 0.128
P 0.500 0.000 0.872
Ac 0.500 0.000 0.236
Ac 0.000 0.500 0.764

Symmetry = P-4m2, No. 115
Energy of formation = -0.84 eV per atom
DFT total energy = -5.49 eV/atom
Density of states at the Fermi level = 5.54 states/eV/f.u.


5.
Below is a geometry-optimized NaAcPPd structure, with properties calculated at the PBE level.

Cell: 5.129 5.129 5.129 Å, 60.00 60.00 60.00°
Element x y z (fractional)
Na 0.000 0.000 0.000
P 0.750 0.750 0.750
Ac 0.500 0.500 0.500
Pd 0.250 0.250 0.250

Symmetry = F-43m, No. 216
Energy of formation = -0.57 eV per atom
DFT total energy = -4.58 eV/atom
Density of states at the Fermi level = 1.61 states/eV/f.u.


6.
Below is a geometry-optimized NaAc2P3Pt12 structure, with properties calculated at the PBE level.

Cell: 7.672 7.672 7.672 Å, 66.69 66.69 66.69°
Element x y z (fractional)
Pt 0.335 0.335 0.900
Pt 0.100 0.665 0.665
Pt 0.129 0.129 0.625
Pt 0.665 0.665 0.100
Pt 0.375 0.871 0.871
Pt 0.665 0.100 0.665
Pt 0.129 0.625 0.129
Pt 0.335 0.900 0.335
Pt 0.625 0.129 0.129
Pt 0.871 0.375 0.871
Pt 0.871 0.871 0.375
Pt 0.900 0.335 0.335
P 0.000 0.000 0.500
P 0.500 0.000 0.000
P 0.000 0.500 0.000
Ac 0.388 0.388 0.388
Ac 0.612 0.612 0.612
Na 0.000 0.000 0.000

Symmetry = R-3m, No. 166
Energy of formation = -0.41 eV per atom
DFT total energy = -5.87 eV/atom
Density of states at the Fermi level = 4.43 states/eV/f.u.


7.
Below is a geometry-optimized NaAcP2Pt2 structure, with properties calculated at the PBE level.

Cell: 4.118 4.118 8.880 Å, 90.00 90.00 120.00°
Element x y z (fractional)
P 0.667 0.333 0.243
P 0.333 0.667 0.757
Pt 0.667 0.333 0.740
Pt 0.333 0.667 0.260
Ac 0.000 0.000 0.000
Na 0.000 0.000 0.500

Symmetry = P-3m1, No. 164
Energy of formation = -0.91 eV per atom
DFT total energy = -5.63 eV/atom
Density of states at the Fermi level = 3.51 states/eV/f.u.


8.
Below is a geometry-optimized NaAc2P3Pt4 structure, with properties calculated at the PBE level.

Cell: 4.342 4.342 10.501 Å, 90.00 90.00 90.00°
Element x y z (fractional)
Pt 0.500 0.500 0.000
Pt 0.000 0.500 0.348
Pt 0.000 0.000 0.000
Pt 0.500 0.000 0.652
P 0.000 0.000 0.500
P 0.000 0.500 0.123
P 0.500 0.000 0.877
Ac 0.500 0.000 0.240
Ac 0.000 0.500 0.760
Na 0.500 0.500 0.500

Symmetry = P-4m2, No. 115
Energy of formation = -0.86 eV per atom
DFT total energy = -5.85 eV/atom
Density of states at the Fermi level = 5.81 states/eV/f.u.


9.
Below is a geometry-optimized NaAcP2S8 structure, with properties calculated at the PBE level.

Cell: 5.783 5.783 10.083 Å, 90.00 90.00 120.00°
Element x y z (fractional)
S 0.667 0.333 0.007
S 0.683 0.005 0.273
S 0.317 0.995 0.727
S 0.005 0.322 0.727
S 0.678 0.683 0.727
S 0.333 0.667 0.993
S 0.322 0.317 0.273
S 0.995 0.678 0.273
Na 0.000 0.000 0.500
P 0.333 0.667 0.791
P 0.667 0.333 0.209
Ac 0.000 0.000 0.000

Symmetry = P-3, No. 147
DFT total energy = -4.75 eV/atom
Density of states at the Fermi level = 5.77 states/eV/f.u.


10.
Below is a geometry-optimized NaAcZnP structure, with properties calculated at the PBE level.

Cell: 5.200 5.200 5.200 Å, 60.00 60.00 60.00°
Element x y z (fractional)
P 0.250 0.250 0.250
Ac 0.500 0.500 0.500
Na 0.000 0.000 0.000
Zn 0.750 0.750 0.750

Symmetry = F-43m, No. 216
Energy of formation = -0.38 eV per atom
DFT total energy = -3.41 eV/atom
Density of states at the Fermi level = 2.64 states/eV/f.u.


11.
Below is a geometry-optimized NaAc2Pa structure, with properties calculated at the PBE level.

Cell: 3.671 3.671 13.333 Å, 82.09 82.09 60.00°
Element x y z (fractional)
Pa 0.500 0.500 0.500
Ac 0.094 0.094 0.718
Ac 0.906 0.906 0.282
Na 0.000 0.000 0.000

Symmetry = R-3m, No. 166
Energy of formation = 0.34 eV per atom
DFT total energy = -4.42 eV/atom
Density of states at the Fermi level = 5.20 states/eV/f.u.


12.
Below is a geometry-optimized NaAcPaS4 structure, with properties calculated at the PBE level.

Cell: 8.208 8.550 8.739 Å, 120.74 90.00 118.69°
Element x y z (fractional)
S 0.255 0.510 0.292
S 0.286 0.054 0.277
S 0.231 0.946 0.723
S 0.769 0.054 0.277
S 0.745 0.490 0.708
S 0.745 0.490 0.282
S 0.255 0.510 0.718
S 0.714 0.946 0.723
Ac 0.500 0.000 0.500
Ac 0.500 0.000 0.000
Na 0.122 0.245 0.872
Na 0.878 0.755 0.128
Pa 0.500 0.500 0.500
Pa 0.000 0.500 0.500

Symmetry = Imma, No. 74
DFT total energy = -6.19 eV/atom
Density of states at the Fermi level = 5.48 states/eV/f.u.